VASP calculation (GGA-PBE) on a relaxed structure of LaY2Mg3AgHg2.

Results
Crystal system: orthorhombic
Energy: -3.257 eV per atom

Cell: 4.225 13.716 7.850 Å, 90.00 90.00 90.00°
Space group Amm2 (No. 38)
Asymmetric unit:
La 0.000 0.000 0.000 (multiplicity 2)
Y 0.000 0.204 0.615 (multiplicity 4)
Mg 0.500 0.000 0.651 (multiplicity 2)
Mg 0.500 0.123 0.293 (multiplicity 4)
Ag 0.000 0.000 0.417 (multiplicity 2)
Hg 0.500 0.172 0.909 (multiplicity 4)